No. 1
Here is an optimized crystal structure of VNi2Pt7 from Alexandria via LeMat-Bulk. Energies are from PBE-GGA.

The value obtained for the total magnetization is 0.09 Bohr magnetons per cell. Its calculated formation energy is 0.29 eV/atom.

It has space group Cmmm (No. 65), with a = 7.144 Å, b = 12.373 Å, c = 4.123 Å, α = 90.00°, β = 90.00° and γ = 90.00°. The asymmetric unit holds V at (0.000, 0.000, 0.000), Ni at (0.000, 0.304, 0.500), Pt at (0.000, 0.204, 0.000), Pt at (0.000, 0.500, 0.500) and Pt at (0.186, 0.110, 0.500).



No. 2
Here is an optimized crystal structure of BeSi2Ru from Alexandria via LeMat-Bulk. Energies are from PBE-GGA.

The value obtained for the total magnetization is 0.00 Bohr magnetons per cell. The calculation puts the uncorrected formation energy at -2.849 kcal/mol of atoms.

It has space group C2 (No. 5), with a = 5.030 Å, b = 5.155 Å, c = 4.438 Å, α = 90.00°, β = 124.19° and γ = 90.00°. The asymmetric unit holds Be at (0.000, 0.000, 0.000), Si at (0.000, 0.503, 0.000), Si at (0.000, 0.752, 0.500) and Ru at (0.000, 0.251, 0.500).



No. 3
Here is an optimized crystal structure of SrAcSmTl from Alexandria via LeMat-Bulk. Energies are from PBE-GGA.

The value obtained for the total magnetization is 2.52 Bohr magnetons per cell. Its calculated formation energy is 0.09 eV/atom.

It has space group F-43m (No. 216), with a = 8.356 Å, b = 8.356 Å, c = 8.356 Å, α = 90.00°, β = 90.00° and γ = 90.00°. The asymmetric unit holds Sr at (0.000, 0.000, 0.000), Ac at (0.250, 0.250, 0.750), Sm at (0.000, 0.000, 0.500) and Tl at (0.250, 0.250, 0.250).



No. 4
Here is an optimized crystal structure of Sm2DyPt9 from Alexandria via LeMat-Bulk. Energies are from PBE-GGA.

The value obtained for the total magnetization is 0.00 Bohr magnetons per cell. Its calculated formation energy is -0.96 eV/atom.

It has space group P4/mmm (No. 123), with a = 4.152 Å, b = 4.152 Å, c = 12.455 Å, α = 90.00°, β = 90.00° and γ = 90.00°. The asymmetric unit holds Sm at (0.000, 0.000, 0.168), Dy at (0.000, 0.000, 0.500), Pt at (0.000, 0.500, 0.000), Pt at (0.000, 0.500, 0.337), Pt at (0.500, 0.500, 0.168) and Pt at (0.500, 0.500, 0.500).



- What is the formula in the third record?
  SrAcSmTl